Record 1
LiCa4Te | PBEsol | optimized geometry

Summary:
Raw formation energy ... 0.43 eV per formula unit
Magnetic moment ... 0.00 μB per atom

Structure (CIF):
```
data_LiCa4Te
_chemical_formula_sum 'Li4 Ca16 Te4'
_cell_length_a 9.561
_cell_length_b 9.561
_cell_length_c 9.561
_cell_angle_alpha 90.00
_cell_angle_beta 90.00
_cell_angle_gamma 90.00
_space_group_name_H-M_alt 'F -4 3 m'
_space_group_IT_number 216
_space_group_name_Hall 'F -4 2 3'
loop_
_atom_site_label
_atom_site_type_symbol
_atom_site_fract_x
_atom_site_fract_y
_atom_site_fract_z
Li1 Li 0.000 0.000 0.000
Ca1 Ca 0.124 0.124 0.624
Te1 Te 0.250 0.250 0.250
```

---

Record 2
Li2CaTi | PBEsol | optimized geometry

Summary:
ΔE_f ... 645 meV per atom
Magnetic moment ... 0.73 μB per atom

Structure (CIF):
```
data_Li2CaTi
_chemical_formula_sum 'Li8 Ca4 Ti4'
_cell_length_a 7.870
_cell_length_b 7.870
_cell_length_c 6.085
_cell_angle_alpha 90.00
_cell_angle_beta 90.00
_cell_angle_gamma 90.00
_space_group_name_H-M_alt 'I -4 2 d'
_space_group_IT_number 122
_space_group_name_Hall 'I -4 2bw'
loop_
_atom_site_label
_atom_site_type_symbol
_atom_site_fract_x
_atom_site_fract_y
_atom_site_fract_z
Li1 Li 0.232 0.250 0.125
Ca1 Ca 0.000 0.000 0.500
Ti1 Ti 0.000 0.000 0.000
```

---

Record 3
Li2CaTl | PBEsol | optimized geometry

Summary:
ΔE_f ... -209 meV per atom
Magnetic moment ... 0.00 μB per atom

Structure (CIF):
```
data_Li2CaTl
_chemical_formula_sum 'Li2 Ca1 Tl1'
_cell_length_a 3.604
_cell_length_b 3.604
_cell_length_c 7.487
_cell_angle_alpha 90.00
_cell_angle_beta 90.00
_cell_angle_gamma 90.00
_space_group_name_H-M_alt 'P 4 m m'
_space_group_IT_number 99
_space_group_name_Hall 'P 4 -2'
loop_
_atom_site_label
_atom_site_type_symbol
_atom_site_fract_x
_atom_site_fract_y
_atom_site_fract_z
Li1 Li 0.000 0.000 0.000
Li2 Li 0.500 0.500 0.202
Ca1 Ca 0.500 0.500 0.676
Tl1 Tl 0.000 0.000 0.397
```

---

Record 4
Li2CaTl | PBEsol | optimized geometry

Summary:
ΔE_f ... -287 meV per atom
Magnetic moment ... 0.00 μB per atom

Structure (CIF):
```
data_Li2CaTl
_chemical_formula_sum 'Li8 Ca4 Tl4'
_cell_length_a 6.976
_cell_length_b 6.976
_cell_length_c 6.976
_cell_angle_alpha 90.00
_cell_angle_beta 90.00
_cell_angle_gamma 90.00
_space_group_name_H-M_alt 'F m -3 m'
_space_group_IT_number 225
_space_group_name_Hall '-F 4 2 3'
loop_
_atom_site_label
_atom_site_type_symbol
_atom_site_fract_x
_atom_site_fract_y
_atom_site_fract_z
Li1 Li 0.250 0.250 0.250
Ca1 Ca 0.000 0.000 0.000
Tl1 Tl 0.000 0.000 0.500
```

---

Record 5
Li3CaTl | PBEsol | optimized geometry

Summary:
ΔE_f ... -24 meV per atom
Magnetic moment ... 0.00 μB per atom

Structure (CIF):
```
data_Li3CaTl
_chemical_formula_sum 'Li3 Ca1 Tl1'
_cell_length_a 5.072
_cell_length_b 5.072
_cell_length_c 5.072
_cell_angle_alpha 90.00
_cell_angle_beta 90.00
_cell_angle_gamma 90.00
_space_group_name_H-M_alt 'P m -3 m'
_space_group_IT_number 221
_space_group_name_Hall '-P 4 2 3'
loop_
_atom_site_label
_atom_site_type_symbol
_atom_site_fract_x
_atom_site_fract_y
_atom_site_fract_z
Li1 Li 0.000 0.000 0.500
Ca1 Ca 0.500 0.500 0.500
Tl1 Tl 0.000 0.000 0.000
```

---

Record 6
Li2Ca2Tl | PBEsol | optimized geometry

Summary:
ΔE_f ... -157 meV per atom
Magnetic moment ... 0.00 μB per atom

Structure (CIF):
```
data_Li2Ca2Tl
_chemical_formula_sum 'Li4 Ca4 Tl2'
_cell_length_a 7.609
_cell_length_b 7.609
_cell_length_c 4.496
_cell_angle_alpha 90.00
_cell_angle_beta 90.00
_cell_angle_gamma 90.00
_space_group_name_H-M_alt 'P 4/m b m'
_space_group_IT_number 127
_space_group_name_Hall '-P 4 2ab'
loop_
_atom_site_label
_atom_site_type_symbol
_atom_site_fract_x
_atom_site_fract_y
_atom_site_fract_z
Li1 Li 0.125 0.375 0.000
Ca1 Ca 0.189 0.689 0.500
Tl1 Tl 0.000 0.000 0.000
```